# 1
DFT (GGA-PBE) results for LiPmPu2Se4 after structural relaxation.

Results
final energy	-7.74	eV per atom
SG	P2/m
total moment	11.51	μB/f.u.
formation energy from raw total energies	-1218	kJ/mol of formula units

Cell and atoms, written as extended XYZ:
```
8
Lattice="4.155 0.000 0.000 0.000 7.166 0.112 0.000 -2.516 6.713" Properties=species:S:1:pos:R:3 pbc="T T T"
Pu 0.000 2.325 3.412
Se 2.077 1.206 1.705
Li 2.077 3.583 0.056
Se 0.000 -0.064 5.090
Pu 2.077 -1.258 3.356
Se 2.077 3.444 5.119
Se 0.000 4.714 1.735
Pm 0.000 0.000 0.000
```


# 2
DFT (GGA-PBE) results for VMo2HPd after structural relaxation.

Results
final energy	-7.86	eV per atom
offset from the most stable computed form	0.0	kJ per mole of atoms
SG	P4/mmm
total moment	0.00	μB/f.u.

Cell and atoms, written as extended XYZ:
```
5
Lattice="3.955 0.000 0.000 0.000 3.955 0.000 0.000 0.000 3.978" Properties=species:S:1:pos:R:3 pbc="T T T"
Mo 0.000 1.978 0.000
V 0.000 0.000 1.989
Pd 1.978 1.978 1.989
Mo 1.978 0.000 0.000
H 0.000 0.000 0.000
```


# 3
DFT (GGA-PBE) results for Pm12Co6Sb after structural relaxation.

Results
final energy	-5.68	eV per atom
SG	Im-3
total moment	0.00	μB/f.u.
formation energy from raw total energies	-405	kJ/mol of formula units

Cell and atoms, written as extended XYZ:
```
19
Lattice="-8.063 -2.889 -0.936 2.610 3.663 -7.349 5.205 -6.589 1.932" Properties=species:S:1:pos:R:3 pbc="T T T"
Pm -1.935 -2.753 -1.305
Co 0.311 -0.750 -6.248
Co -0.559 -5.064 -0.105
Pm 2.794 0.609 -5.434
Pm -5.114 -1.943 -2.789
Co 2.796 -5.147 -2.321
Pm -2.087 -3.076 -4.887
Pm 1.838 -2.738 -1.466
Pm -0.152 -0.332 -3.591
Pm 4.866 -3.872 -3.564
Pm -0.097 -5.483 -2.762
Co -3.549 -4.438 -2.723
Sb 0.000 0.000 0.000
Pm -3.043 -6.424 -0.919
Pm 1.687 -3.062 -5.048
Co 3.301 -1.377 -3.631
Co -3.045 -0.668 -4.032
Pm 2.016 -5.783 0.447
Pm -2.264 -0.032 -6.800
```


# 4
DFT (GGA-PBE) results for RbBa4Au5 after structural relaxation.

Results
final energy	-3.12	eV per atom
formation enthalpy at 0 K	-0.612	eV/atom
SG	P4/mmm
total moment	0.00	μB/f.u.

Cell and atoms, written as extended XYZ:
```
10
Lattice="-2.110 3.493 0.166 -0.221 0.060 -4.078 -17.383 -10.538 0.786" Properties=species:S:1:pos:R:3 pbc="T T T"
Au -3.230 0.525 -1.863
Ba -6.980 -4.232 0.316
Ba -13.813 -8.374 0.625
Ba -10.403 -6.307 0.471
Au -13.283 -5.569 -1.408
Au -9.857 -3.493 -1.563
Au -16.484 -7.510 -1.263
Au -6.431 -1.416 -1.718
Rb 0.000 0.000 0.000
Ba -3.569 -2.164 0.161
```


# 5
DFT (GGA-PBE) results for CoSBrCl2 after structural relaxation.

Results
final energy	-3.11	eV per atom
offset from the most stable computed form	0.0	kJ per mole of atoms
SG	P4/mmm
total moment	2.05	μB/f.u.
formation energy from raw total energies	100	kJ/mol of formula units

Cell and atoms, written as extended XYZ:
```
5
Lattice="4.523 0.000 0.000 0.000 4.523 0.000 0.000 0.000 4.824" Properties=species:S:1:pos:R:3 pbc="T T T"
Cl 2.262 0.000 0.000
Br 2.262 2.262 2.412
Cl 0.000 2.262 0.000
Co 0.000 0.000 0.000
S 0.000 0.000 2.412
```


# 6
DFT (GGA-PBE) results for Dy2UBiO8 after structural relaxation.

Results
final energy	-8.11	eV per atom
SG	P2/m
total moment	0.00	μB/f.u.
formation energy from raw total energies	-3214	kJ/mol of formula units

Cell and atoms, written as extended XYZ:
```
12
Lattice="-2.137 4.617 -0.150 -2.947 -1.424 3.901 4.877 2.405 4.562" Properties=species:S:1:pos:R:3 pbc="T T T"
O -3.601 2.257 2.660
Dy -1.328 2.195 3.011
Dy 1.120 3.403 5.303
O -1.074 3.405 4.873
O 3.394 3.340 5.653
U 0.000 0.000 0.000
O 0.960 1.550 6.655
Bi 2.438 1.202 2.281
O 0.867 2.192 3.440
O -1.168 4.047 1.659
O 1.463 5.343 4.118
O -1.671 0.255 4.196
```


# 7
DFT (GGA-PBE) results for Sc6Te3Se2S after structural relaxation.

Results
final energy	-6.31	eV per atom
SG	C2/m
total moment	0.00	μB/f.u.
formation energy from raw total energies	-1656	kJ/mol of formula units

Cell and atoms, written as extended XYZ:
```
12
Lattice="6.873 -0.003 0.006 -3.437 5.951 0.006 -1.140 -1.974 6.596" Properties=species:S:1:pos:R:3 pbc="T T T"
Sc 0.205 3.978 5.245
Se 0.012 3.959 0.006
Sc 3.343 2.165 5.245
Sc -1.048 1.809 1.363
Te 1.148 1.987 3.304
Sc 2.394 4.146 1.414
S 0.000 0.000 0.000
Sc -0.099 -0.172 5.195
Te -2.217 3.931 3.304
Se 3.423 1.989 0.006
Te 4.513 0.044 3.304
Sc 2.091 -0.004 1.363
```


# 8
DFT (GGA-PBE) results for CaEuS2 after structural relaxation.

Results
final energy	-7.27	eV per atom
offset from the most stable computed form	0.0	kJ per mole of atoms
SG	R-3m
total moment	7.00	μB/f.u.
formation energy from raw total energies	-825	kJ/mol of formula units

Cell and atoms, written as extended XYZ:
```
4
Lattice="7.109 0.002 0.001 5.923 3.932 0.001 5.923 1.788 3.502" Properties=species:S:1:pos:R:3 pbc="T T T"
Eu 9.478 2.861 1.752
S 14.173 4.278 2.620
Ca 0.000 0.000 0.000
S 4.782 1.444 0.884
```


# 9
DFT (GGA-PBE) results for Mg8Tl3Cd3 after structural relaxation.

Results
final energy	-1.57	eV per atom
formation enthalpy at 0 K	0.041	eV/atom
SG	Cmmm
total moment	0.00	μB/f.u.

Cell and atoms, written as extended XYZ:
```
14
Lattice="-3.435 -3.446 1.094 5.466 -3.733 5.413 -2.656 4.742 6.599" Properties=species:S:1:pos:R:3 pbc="T T T"
Mg 2.186 -3.328 7.753
Tl 0.418 -0.955 9.675
Cd -0.112 -4.942 6.821
Mg -0.341 -3.807 9.679
Mg -2.104 1.147 8.379
Mg 1.817 -0.820 3.124
Mg 1.478 -3.583 4.727
Tl -1.043 -1.481 3.430
Cd -0.514 2.506 6.284
Cd -1.718 -1.723 0.547
Mg -2.811 0.892 5.352
Tl -0.313 -1.218 6.553
Mg -0.284 1.370 3.426
Mg -2.442 -1.616 9.981
```


# 10
DFT (GGA-PBE) results for RbNa2Os after structural relaxation.

Results
final energy	-2.31	eV per atom
formation enthalpy at 0 K	1.398	eV/atom
offset from the most stable computed form	14.6	kJ per mole of atoms
SG	I-42d
total moment	2.14	μB/f.u.

Cell and atoms, written as extended XYZ:
```
8
Lattice="-2.452 3.872 1.821 -1.001 -2.560 4.095 7.574 4.381 7.559" Properties=species:S:1:pos:R:3 pbc="T T T"
Rb -1.726 0.656 2.958
Na 0.081 3.441 3.655
Rb 2.424 1.239 7.306
Os 0.000 0.000 0.000
Os 1.698 4.454 6.169
Na 2.596 4.272 11.106
Na 4.449 3.940 7.628
Na 1.117 -0.266 4.561
```


# 11
DFT (GGA-PBE) results for TbSm4Ni2 after structural relaxation.

Results
final energy	-5.11	eV per atom
formation enthalpy at 0 K	-0.101	eV/atom
SG	P2_1/m
total moment	0.00	μB/f.u.

Cell and atoms, written as extended XYZ:
```
14
Lattice="6.555 0.000 0.000 0.000 6.899 -3.004 0.000 0.058 8.120" Properties=species:S:1:pos:R:3 pbc="T T T"
Sm 0.053 4.099 0.089
Ni 4.916 2.632 2.105
Tb 4.916 1.013 -0.196
Sm 6.502 2.859 5.026
Sm 4.916 0.193 3.036
Sm 4.916 5.197 3.038
Sm 1.639 6.764 2.079
Sm 3.331 2.859 5.026
Sm 3.224 4.099 0.089
Ni 1.639 4.325 3.010
Sm 1.639 1.760 2.077
Ni 1.639 1.799 7.341
Ni 4.916 5.158 -2.226
Tb 1.639 5.944 5.312
```


# 12
DFT (GGA-PBE) results for CaSmY2S4 after structural relaxation.

Results
final energy	-6.55	eV per atom
SG	P2/m
total moment	0.00	μB/f.u.
formation energy from raw total energies	-1568	kJ/mol of formula units

Cell and atoms, written as extended XYZ:
```
8
Lattice="-0.083 1.978 3.412 -6.104 -2.783 1.465 0.967 -5.883 3.435" Properties=species:S:1:pos:R:3 pbc="T T T"
Ca -2.568 -4.333 2.450
S -3.894 -6.486 3.666
Y 0.967 -5.883 3.435
S -1.326 -0.203 4.646
Sm -3.094 -0.402 2.438
Y 0.442 -1.952 3.424
S -0.811 -4.102 4.639
S -4.409 -2.587 3.673
```